(1)
A plane-wave DFT calculation with PBE-GGA was carried out for AsPb2Au2 after structural relaxation.

The value obtained for the formation energy from the elements is 91 kJ/mol of formula units. As for the energy above the most stable polymorph in this dataset: 206.4 meV per atom.

It has space group P4/mbm (No. 127), with a = 8.4216 Å, b = 8.4216 Å, c = 3.5764 Å, α = 90.00°, β = 90.00° and γ = 90.00°. Symmetry generates all atoms from As at (0.0000, 0.0000, 0.0000), Pb at (0.1886, 0.3114, 0.0000) and Au at (0.1163, 0.6163, 0.5000).

(2)
A plane-wave DFT calculation with PBE-GGA was carried out for MnOsW2 after structural relaxation.

The value obtained for the formation energy from the elements is 64 kJ/mol of formula units. As for the energy above the most stable polymorph in this dataset: 59.7 meV per atom.

It has space group P4/mmm (No. 123), with a = 2.8926 Å, b = 2.8926 Å, c = 6.9445 Å, α = 90.00°, β = 90.00° and γ = 90.00°. Symmetry generates all atoms from Mn at (0.0000, 0.0000, 0.0000), Os at (0.0000, 0.0000, 0.5000) and W at (0.5000, 0.5000, 0.2334).

(3)
A plane-wave DFT calculation with PBE-GGA was carried out for Sm2Er8Mg after structural relaxation.

The value obtained for the formation energy from the elements is 116 kJ/mol of formula units. As for the energy above the most stable polymorph in this dataset: 0.0 meV per atom.

It has space group Immm (No. 71), with a = 5.4810 Å, b = 7.4731 Å, c = 16.9682 Å, α = 90.00°, β = 90.00° and γ = 90.00°. Symmetry generates all atoms from Sm at (0.0000, 0.0000, 0.1938), Er at (0.0000, 0.2424, 0.0000), Er at (0.0000, 0.2686, 0.3624), Er at (0.0000, 0.5000, 0.1781) and Mg at (0.0000, 0.0000, 0.5000).

(4)
A plane-wave DFT calculation with PBE-GGA was carried out for YScGa2Cu5 after structural relaxation.

The value obtained for the formation energy from the elements is -116 kJ/mol of formula units.

It has space group P4/mmm (No. 123), with a = 4.0533 Å, b = 4.0533 Å, c = 9.0636 Å, α = 90.00°, β = 90.00° and γ = 90.00°. Symmetry generates all atoms from Y at (0.0000, 0.0000, 0.0000), Sc at (0.0000, 0.0000, 0.5000), Ga at (0.5000, 0.5000, 0.3658), Cu at (0.0000, 0.5000, 0.2201) and Cu at (0.5000, 0.5000, 0.0000).

- Among the records above, which one has the lowest formation energy from the elements?
  YScGa2Cu5